VASP calculation (PBE-GGA) on an optimized crystal structure of Ac6GeIr3.

Summary:
total moment	0.00	μB/cell
space-group type	P2_1/m
E_tot	-0.45618	Ry per atom
DFT formation energy	-0.62	eV/atom

a = 4.4663 Å, b = 12.4131 Å, c = 12.6734 Å
α = 108.55°, β = 90.00°, γ = 90.00°
Last column: nearest neighbours and their distance in Å.
Atoms (fractional coordinates):
Ac 0.7500 0.4636 0.6077  3 Ir 2.96-2.97
Ac 0.2500 0.5364 0.3923  3 Ir 2.96-2.97
Ac 0.7500 0.9227 0.0911  3 Ir 2.95-3.08
Ac 0.2500 0.0773 0.9089  3 Ir 2.95-3.08
Ac 0.7500 0.3954 0.0597  4 Ir 3.01-3.09
Ac 0.2500 0.6046 0.9403  4 Ir 3.01-3.09
Ac 0.7500 0.7237 0.2636  3 Ir 3.04-3.12
Ac 0.2500 0.2763 0.7364  3 Ir 3.04-3.12
Ac 0.7500 0.1233 0.4636  2 Ir 3.14, 3 Ge 3.29-3.35
Ac 0.2500 0.8767 0.5364  2 Ir 3.14, 3 Ge 3.29-3.35
Ac 0.7500 0.7958 0.7572  3 Ir 2.94-3.14
Ac 0.2500 0.2042 0.2428  3 Ir 2.94-3.14
Ge 0.7500 0.0480 0.6950  8 Ac 3.29-3.51
Ge 0.2500 0.9520 0.3050  8 Ac 3.29-3.51
Ir 0.7500 0.4440 0.8354  6 Ac 2.97-3.09
Ir 0.2500 0.5560 0.1646  6 Ac 2.97-3.09
Ir 0.7500 0.6901 0.4971  6 Ac 2.96-3.14
Ir 0.2500 0.3099 0.5029  6 Ac 2.96-3.14
Ir 0.7500 0.1573 0.0832  6 Ac 2.94-3.08
Ir 0.2500 0.8427 0.9168  6 Ac 2.94-3.08

=====

VASP calculation (PBE-GGA) on an optimized crystal structure of AcGeIr.

Summary:
total moment	0.00	μB/cell
space-group type	P2_13
E_tot	-0.49064	Ry per atom
DFT formation energy	-0.81	eV/atom

a = 6.6779 Å, b = 6.6779 Å, c = 6.6779 Å
α = 90.00°, β = 90.00°, γ = 90.00°
Last column: nearest neighbours and their distance in Å.
Atoms (fractional coordinates):
Ac 0.1481 0.1481 0.1481  4 Ir 3.22-3.24, 4 Ge 3.53
Ac 0.6481 0.3519 0.8519  4 Ir 3.22-3.24, 4 Ge 3.53
Ac 0.3519 0.8519 0.6481  4 Ir 3.22-3.24, 4 Ge 3.53
Ac 0.8519 0.6481 0.3519  4 Ir 3.22-3.24, 4 Ge 3.53
Ge 0.3427 0.6573 0.1573  3 Ir 2.43
Ge 0.1573 0.3427 0.6573  3 Ir 2.43
Ge 0.6573 0.1573 0.3427  3 Ir 2.43
Ge 0.8427 0.8427 0.8427  3 Ir 2.43
Ir 0.4264 0.4264 0.4264  3 Ge 2.43
Ir 0.0736 0.5736 0.9264  3 Ge 2.43
Ir 0.9264 0.0736 0.5736  3 Ge 2.43
Ir 0.5736 0.9264 0.0736  3 Ge 2.43

=====

VASP calculation (PBE-GGA) on an optimized crystal structure of Ac3Ge2Ir2.

Summary:
total moment	0.00	μB/cell
space-group type	Immm
E_tot	-0.46309	Ry per atom
DFT formation energy	-0.69	eV/atom

a = 4.5388 Å, b = 4.4565 Å, c = 9.9694 Å
α = 102.92°, β = 103.16°, γ = 90.00°
Last column: nearest neighbours and their distance in Å.
Atoms (fractional coordinates):
Ac 0.0000 0.0000 0.0000  4 Ge 3.37, 8 Ir 3.46
Ac 0.6788 0.1788 0.3577  2 Ir 3.01, 4 Ge 3.29
Ac 0.3212 0.8212 0.6423  2 Ir 3.01, 4 Ge 3.29
Ge 0.1336 0.6336 0.2672  2 Ir 2.55
Ge 0.8664 0.3664 0.7328  2 Ir 2.55
Ir 0.5720 0.5720 0.1441  2 Ge 2.55, 1 Ir 2.72
Ir 0.4280 0.4280 0.8559  2 Ge 2.55, 1 Ir 2.72

=====

VASP calculation (PBE-GGA) on an optimized crystal structure of Ac2Ge2Ir3.

Summary:
total moment	0.00	μB/cell
space-group type	P2/m
E_tot	-0.49752	Ry per atom
DFT formation energy	-0.48	eV/atom

a = 5.6055 Å, b = 4.3749 Å, c = 8.2267 Å
α = 90.00°, β = 67.19°, γ = 90.00°
Last column: nearest neighbours and their distance in Å.
Atoms (fractional coordinates):
Ac 0.3640 0.5000 0.7729  6 Ir 3.08-3.41
Ac 0.6360 0.5000 0.2271  6 Ir 3.08-3.41
Ge 0.1079 0.0000 0.2567  3 Ir 2.41-2.45
Ge 0.8921 0.0000 0.7433  3 Ir 2.41-2.45
Ir 0.2924 0.0000 0.4772  2 Ge 2.41-2.45, 1 Ir 2.50
Ir 0.0000 0.0000 0.0000  2 Ge 2.41
Ir 0.7076 0.0000 0.5228  2 Ge 2.41-2.45, 1 Ir 2.50

=====

VASP calculation (PBE-GGA) on an optimized crystal structure of Ac6Ge2Ir.

Summary:
total moment	0.00	μB/cell
space-group type	P2_1/c
E_tot	-0.38590	Ry per atom
DFT formation energy	-0.50	eV/atom

a = 7.1945 Å, b = 8.4174 Å, c = 10.9117 Å
α = 90.00°, β = 91.95°, γ = 90.00°
Last column: nearest neighbours and their distance in Å.
Atoms (fractional coordinates):
Ac 0.8518 0.9596 0.2484  1 Ir 2.93, 2 Ge 3.27-3.28
Ac 0.8449 0.6842 0.5629  1 Ir 2.97, 1 Ge 3.32
Ac 0.8393 0.6745 0.9314  1 Ir 2.97, 2 Ge 3.23-3.27
Ac 0.6607 0.1745 0.5686  1 Ir 2.97, 2 Ge 3.23-3.27
Ac 0.6551 0.1842 0.9371  1 Ir 2.97, 1 Ge 3.32
Ac 0.6482 0.4596 0.2516  1 Ir 2.93, 2 Ge 3.27-3.28
Ac 0.1482 0.0404 0.7516  1 Ir 2.93, 2 Ge 3.27-3.28
Ac 0.1551 0.3158 0.4371  1 Ir 2.97, 1 Ge 3.32
Ac 0.1607 0.3255 0.0686  1 Ir 2.97, 2 Ge 3.23-3.27
Ac 0.3393 0.8255 0.4314  1 Ir 2.97, 2 Ge 3.23-3.27
Ac 0.3449 0.8158 0.0629  1 Ir 2.97, 1 Ge 3.32
Ac 0.3518 0.5404 0.7484  1 Ir 2.93, 2 Ge 3.27-3.28
Ge 0.9353 0.3832 0.7517  6 Ac 3.23-3.35
Ge 0.5647 0.8832 0.7483  6 Ac 3.23-3.35
Ge 0.4353 0.1168 0.2517  6 Ac 3.23-3.35
Ge 0.0647 0.6168 0.2483  6 Ac 3.23-3.35
Ir 0.5000 0.5000 0.0000  6 Ac 2.93-2.97
Ir 0.0000 0.0000 0.5000  6 Ac 2.93-2.97

=====

VASP calculation (PBE-GGA) on an optimized crystal structure of AcGe2Ir2.

Summary:
total moment	0.00	μB/cell
space-group type	P4/nmm
E_tot	-0.51117	Ry per atom
DFT formation energy	-0.74	eV/atom

a = 4.3702 Å, b = 4.3702 Å, c = 10.3815 Å
α = 90.00°, β = 90.00°, γ = 90.00°
Last column: nearest neighbours and their distance in Å.
Atoms (fractional coordinates):
Ac 0.5000 0.0000 0.2450  8 Ir 3.33-3.43, 8 Ge 3.35-3.36
Ac 0.0000 0.5000 0.7550  8 Ir 3.33-3.43, 8 Ge 3.35-3.36
Ge 0.0000 0.5000 0.3718  5 Ir 2.55-2.56
Ge 0.5000 0.0000 0.6282  5 Ir 2.55-2.56
Ge 0.5000 0.5000 0.0000  4 Ir 2.55
Ge 0.0000 0.0000 0.0000  4 Ir 2.55
Ir 0.5000 0.5000 0.5000  4 Ge 2.56
Ir 0.0000 0.0000 0.5000  4 Ge 2.56
Ir 0.0000 0.5000 0.1257  5 Ge 2.55
Ir 0.5000 0.0000 0.8743  5 Ge 2.55

=====

VASP calculation (PBE-GGA) on an optimized crystal structure of Ac3GeIr3.

Summary:
total moment	0.00	μB/cell
space-group type	P6_3/m
E_tot	-0.49203	Ry per atom
DFT formation energy	-0.48	eV/atom

a = 6.0283 Å, b = 8.9631 Å, c = 8.9631 Å
α = 120.00°, β = 90.00°, γ = 90.00°
Last column: nearest neighbours and their distance in Å.
Atoms (fractional coordinates):
Ac 0.7500 0.7027 0.6431  5 Ir 3.02-3.16
Ac 0.7500 0.3569 0.0596  5 Ir 3.02-3.16
Ac 0.7500 0.9404 0.2973  5 Ir 3.02-3.16
Ac 0.2500 0.2973 0.3569  5 Ir 3.02-3.16
Ac 0.2500 0.6431 0.9404  5 Ir 3.02-3.16
Ac 0.2500 0.0596 0.7027  5 Ir 3.02-3.16
Ge 0.2500 0.6667 0.3333  3 Ir 2.41
Ge 0.7500 0.3333 0.6667  3 Ir 2.41
Ir 0.2500 0.6859 0.6114  1 Ge 2.41
Ir 0.2500 0.3886 0.0745  1 Ge 2.41
Ir 0.2500 0.9255 0.3141  1 Ge 2.41
Ir 0.7500 0.3141 0.3886  1 Ge 2.41
Ir 0.7500 0.6114 0.9255  1 Ge 2.41
Ir 0.7500 0.0745 0.6859  1 Ge 2.41

=====

VASP calculation (PBE-GGA) on an optimized crystal structure of Ac4Ge3Ir5.

Summary:
total moment	0.00	μB/cell
space-group type	C2/m
E_tot	-0.49754	Ry per atom
DFT formation energy	-0.55	eV/atom

a = 4.6022 Å, b = 7.8262 Å, c = 9.9887 Å
α = 67.53°, β = 76.68°, γ = 72.90°
Last column: nearest neighbours and their distance in Å.
Atoms (fractional coordinates):
Ac 0.9491 0.2585 0.8433  7 Ir 3.06-3.39, 3 Ge 3.21-3.41
Ac 0.2592 0.7681 0.7134  3 Ge 3.20-3.45, 6 Ir 3.28-3.38
Ac 0.7408 0.2319 0.2866  3 Ge 3.20-3.45, 6 Ir 3.28-3.38
Ac 0.0509 0.7415 0.1567  7 Ir 3.06-3.39, 3 Ge 3.21-3.41
Ge 0.3830 0.8681 0.3658  2 Ir 2.44-2.62
Ge 0.0000 0.5000 0.5000  2 Ir 2.30
Ge 0.6170 0.1319 0.6342  2 Ir 2.44-2.62
Ir 0.5853 0.9365 0.8930  1 Ge 2.44, 2 Ir 2.52-2.56
Ir 0.5000 0.5000 0.5000  2 Ge 2.30
Ir 0.2758 0.4204 0.0280  3 Ir 2.52-2.56
Ir 0.7242 0.5796 0.9720  3 Ir 2.52-2.56
Ir 0.4147 0.0635 0.1070  1 Ge 2.44, 2 Ir 2.52-2.56

=====

VASP calculation (PBE-GGA) on an optimized crystal structure of Ac3GeIr.

Summary:
total moment	0.00	μB/cell
space-group type	P2_1/c
E_tot	-0.41903	Ry per atom
DFT formation energy	-0.54	eV/atom

a = 7.2565 Å, b = 10.6294 Å, c = 9.3981 Å
α = 109.27°, β = 90.00°, γ = 90.00°
Last column: nearest neighbours and their distance in Å.
Atoms (fractional coordinates):
Ac 0.0600 0.6345 0.8741  3 Ir 2.98-3.05
Ac 0.9400 0.3655 0.1259  3 Ir 2.98-3.05
Ac 0.5600 0.8655 0.1259  3 Ir 2.98-3.05
Ac 0.4400 0.1345 0.8741  3 Ir 2.98-3.05
Ac 0.5665 0.4721 0.7963  2 Ir 2.91-3.00
Ac 0.4335 0.5279 0.2037  2 Ir 2.91-3.00
Ac 0.0665 0.0279 0.2037  2 Ir 2.91-3.00
Ac 0.9335 0.9721 0.7963  2 Ir 2.91-3.00
Ac 0.0407 0.2598 0.6184  1 Ir 3.01, 1 Ge 3.31
Ac 0.9593 0.7402 0.3816  1 Ir 3.01, 1 Ge 3.31
Ac 0.5407 0.2402 0.3816  1 Ir 3.01, 1 Ge 3.31
Ac 0.4593 0.7598 0.6184  1 Ir 3.01, 1 Ge 3.31
Ge 0.8195 0.5107 0.5247  1 Ge 2.66
Ge 0.1805 0.4893 0.4753  1 Ge 2.66
Ge 0.3195 0.9893 0.4753  1 Ge 2.66
Ge 0.6805 0.0107 0.5247  1 Ge 2.66
Ir 0.2358 0.3871 0.9138  6 Ac 2.91-3.05
Ir 0.7642 0.6129 0.0862  6 Ac 2.91-3.05
Ir 0.7358 0.1129 0.0862  6 Ac 2.91-3.05
Ir 0.2642 0.8871 0.9138  6 Ac 2.91-3.05

=====

VASP calculation (PBE-GGA) on an optimized crystal structure of Ac5Ge5Ir2.

Summary:
total moment	0.00	μB/cell
space-group type	C2/m
E_tot	-0.42614	Ry per atom
DFT formation energy	-0.69	eV/atom

a = 4.3887 Å, b = 8.3416 Å, c = 9.6886 Å
α = 83.39°, β = 76.91°, γ = 74.75°
Last column: nearest neighbours and their distance in Å.
Atoms (fractional coordinates):
Ac 0.0000 0.5000 0.5000  6 Ge 3.27-3.38, 4 Ir 3.35
Ac 0.6943 0.6945 0.9168  3 Ir 3.17-3.23, 7 Ge 3.32-3.42
Ac 0.3788 0.9206 0.3219  5 Ge 3.18-3.42, 1 Ir 3.28
Ac 0.6212 0.0794 0.6781  5 Ge 3.18-3.42, 1 Ir 3.28
Ac 0.3057 0.3055 0.0832  3 Ir 3.17-3.23, 7 Ge 3.32-3.42
Ge 0.7031 0.2425 0.3512  1 Ir 2.54
Ge 0.9394 0.3069 0.8144  2 Ir 2.57
Ge 0.0606 0.6931 0.1856  2 Ir 2.57
Ge 0.2969 0.7575 0.6488  1 Ir 2.54
Ge 0.0000 0.0000 0.0000  2 Ge 2.94
Ir 0.3823 0.4669 0.7684  3 Ge 2.54-2.57
Ir 0.6177 0.5331 0.2316  3 Ge 2.54-2.57

=====

VASP calculation (PBE-GGA) on an optimized crystal structure of Ac3Ge3Ir.

Summary:
total moment	0.00	μB/cell
space-group type	P6_3/m
E_tot	-0.40068	Ry per atom
DFT formation energy	-0.45	eV/atom

a = 6.3244 Å, b = 9.1387 Å, c = 9.1387 Å
α = 120.00°, β = 90.00°, γ = 90.00°
Last column: nearest neighbours and their distance in Å.
Atoms (fractional coordinates):
Ac 0.7500 0.7017 0.6111  5 Ge 3.16-3.25
Ac 0.7500 0.3889 0.0906  5 Ge 3.16-3.25
Ac 0.7500 0.9094 0.2983  5 Ge 3.16-3.25
Ac 0.2500 0.2983 0.3889  5 Ge 3.16-3.25
Ac 0.2500 0.6111 0.9094  5 Ge 3.16-3.25
Ac 0.2500 0.0906 0.7017  5 Ge 3.16-3.25
Ge 0.2500 0.7087 0.6146  1 Ir 2.40
Ge 0.2500 0.3854 0.0940  1 Ir 2.40
Ge 0.2500 0.9060 0.2913  1 Ir 2.40
Ge 0.7500 0.2913 0.3854  1 Ir 2.40
Ge 0.7500 0.6146 0.9060  1 Ir 2.40
Ge 0.7500 0.0940 0.7087  1 Ir 2.40
Ir 0.2500 0.6667 0.3333  3 Ge 2.40
Ir 0.7500 0.3333 0.6667  3 Ge 2.40

=====

VASP calculation (PBE-GGA) on an optimized crystal structure of Ac2GeIr.

Summary:
total moment	0.00	μB/cell
space-group type	P4/mmm
E_tot	-0.43469	Ry per atom
DFT formation energy	-0.49	eV/atom

a = 3.7118 Å, b = 3.7118 Å, c = 8.1387 Å
α = 90.00°, β = 90.00°, γ = 90.00°
Last column: nearest neighbours and their distance in Å.
Atoms (fractional coordinates):
Ac 0.0000 0.0000 0.7766  4 Ir 3.19, 4 Ge 3.46
Ac 0.0000 0.0000 0.2234  4 Ir 3.19, 4 Ge 3.46
Ir 0.5000 0.5000 0.0000  8 Ac 3.19
Ge 0.5000 0.5000 0.5000  8 Ac 3.46, 4 Ge 3.71

=====

- What is the total moment in the fifth record?
  0.00 μB/cell

=====

- E_tot of number 5 (Ac6Ge2Ir)?
  -0.38590 Ry per atom

=====

- Which of these has the highest DFT formation energy?
  Ac3Ge3Ir

=====

- Among the records above, which one has the lowest E_tot?
  AcGe2Ir2